The following is a DFT calculation (GGA-PBE) of Mg2ScFe after structural relaxation.

The space group is P4/mmm (No. 123) and the conventional cell measures 4.063, 4.063 and 4.586 Å, with angles of 90.00, 90.00 and 90.00 degrees. The asymmetric unit holds Mg at (0.000, 0.500, 0.000), Sc at (0.000, 0.000, 0.500) and Fe at (0.500, 0.500, 0.500).

For the formation energy, the calculation gives 150 meV per atom. The value obtained for the size of the total moment is 0.39 μB per atom.

The following is a DFT calculation (GGA-PBE) of MgSc4Fe after structural relaxation.

The space group is F-43m (No. 216) and the conventional cell measures 8.160, 8.160 and 8.160 Å, with angles of 90.00, 90.00 and 90.00 degrees. The asymmetric unit holds Mg at (0.000, 0.000, 0.000), Sc at (0.124, 0.124, 0.624) and Fe at (0.250, 0.250, 0.250).

For the formation energy, the calculation gives 504 meV per atom. The value obtained for the size of the total moment is 0.41 μB per atom. The value obtained for the excess energy over the best structure of this formula in the dataset is 404 meV per atom.

The following is a DFT calculation (GGA-PBE) of MgScFe2 after structural relaxation.

The space group is I-42d (No. 122) and the conventional cell measures 7.012, 7.012 and 5.453 Å, with angles of 90.00, 90.00 and 90.00 degrees. The asymmetric unit holds Mg at (0.000, 0.000, 0.000), Sc at (0.000, 0.000, 0.500) and Fe at (0.244, 0.250, 0.125).

For the formation energy, the calculation gives 505 meV per atom. The value obtained for the size of the total moment is 0.93 μB per atom.

The following is a DFT calculation (GGA-PBE) of MgScFe2 after structural relaxation.

The space group is P4mm (No. 99) and the conventional cell measures 3.095, 3.095 and 6.988 Å, with angles of 90.00, 90.00 and 90.00 degrees. The asymmetric unit holds Mg at (0.000, 0.000, 0.000), Sc at (0.500, 0.500, 0.351), Fe at (0.000, 0.000, 0.593) and Fe at (0.500, 0.500, 0.754).

For the formation energy, the calculation gives 37 meV per atom. The value obtained for the size of the total moment is 1.11 μB per atom.

The following is a DFT calculation (GGA-PBE) of Mg2ScFe after structural relaxation.

The space group is Fm-3m (No. 225) and the conventional cell measures 6.570, 6.570 and 6.570 Å, with angles of 90.00, 90.00 and 90.00 degrees. The asymmetric unit holds Mg at (0.250, 0.250, 0.250), Sc at (0.000, 0.000, 0.000) and Fe at (0.000, 0.000, 0.500).

For the formation energy, the calculation gives 335 meV per atom. The value obtained for the size of the total moment is 0.01 μB per atom.

The following is a DFT calculation (GGA-PBE) of Mg2ScFe2 after structural relaxation.

The space group is I4/mmm (No. 139) and the conventional cell measures 3.957, 3.957 and 11.521 Å, with angles of 90.00, 90.00 and 90.00 degrees. The asymmetric unit holds Mg at (0.000, 0.500, 0.250), Sc at (0.000, 0.000, 0.000) and Fe at (0.000, 0.000, 0.410).

For the formation energy, the calculation gives 238 meV per atom. The value obtained for the size of the total moment is 0.72 μB per atom. The value obtained for the excess energy over the best structure of this formula in the dataset is 13 meV per atom.

The following is a DFT calculation (GGA-PBE) of Mg2ScFe after structural relaxation.

The space group is R3m (No. 160, hexagonal axes) and the conventional cell measures 3.0987, 3.0987 and 28.5485 Å, with angles of 90.00, 90.00 and 120.00 degrees. The asymmetric unit holds Mg at (0.0000, 0.0000, 0.0000), Mg at (0.0000, 0.0000, 0.2385), Sc at (0.0000, 0.0000, 0.7618) and Fe at (0.0000, 0.0000, 0.4978).

For the formation energy, the calculation gives 184 meV per atom. The value obtained for the size of the total moment is 0.46 μB per atom.

The following is a DFT calculation (GGA-PBE) of MgScFe3 after structural relaxation.

The space group is Pm-3m (No. 221) and the conventional cell measures 4.459, 4.459 and 4.459 Å, with angles of 90.00, 90.00 and 90.00 degrees. The asymmetric unit holds Mg at (0.000, 0.000, 0.000), Sc at (0.500, 0.500, 0.500) and Fe at (0.000, 0.000, 0.500).

For the formation energy, the calculation gives 1118 meV per atom. The value obtained for the size of the total moment is 1.30 μB per atom. The value obtained for the excess energy over the best structure of this formula in the dataset is 0 meV per atom.

The following is a DFT calculation (GGA-PBE) of MgSc5Fe after structural relaxation.

The space group is C2/c (No. 15) and the conventional cell measures 8.859, 8.925 and 8.879 Å, with angles of 90.00, 109.98 and 90.00 degrees. The asymmetric unit holds Mg at (0.000, 0.080, 0.250), Sc at (0.000, 0.387, 0.250), Sc at (0.100, 0.254, 0.652), Sc at (0.241, 0.448, 0.001) and Fe at (0.250, 0.250, 0.500).

For the formation energy, the calculation gives 180 meV per atom. The value obtained for the size of the total moment is 0.00 μB per atom. The value obtained for the excess energy over the best structure of this formula in the dataset is 0 meV per atom.

The following is a DFT calculation (GGA-PBE) of MgScFe2 after structural relaxation.

The space group is Pm (No. 6) and the conventional cell measures 2.906, 4.109 and 5.566 Å, with angles of 90.00, 103.97 and 90.00 degrees. The asymmetric unit holds Mg at (0.000, 0.000, 0.000), Sc at (0.628, 0.500, 0.341), Fe at (0.192, 0.000, 0.560) and Fe at (0.463, 0.500, 0.781).

For the formation energy, the calculation gives 124 meV per atom. The value obtained for the size of the total moment is 0.96 μB per atom.

The following is a DFT calculation (GGA-PBE) of Mg2ScFe after structural relaxation.

The space group is Cmmm (No. 65) and the conventional cell measures 5.654, 9.212 and 2.949 Å, with angles of 90.00, 90.00 and 90.00 degrees. The asymmetric unit holds Mg at (0.250, 0.250, 0.000), Sc at (0.000, 0.000, 0.500) and Fe at (0.000, 0.500, 0.500).

For the formation energy, the calculation gives 253 meV per atom. The value obtained for the size of the total moment is 0.41 μB per atom.

The following is a DFT calculation (GGA-PBE) of MgScFe2 after structural relaxation.

The space group is R-3m (No. 166, hexagonal axes) and the conventional cell measures 2.9104, 2.9104 and 26.8438 Å, with angles of 90.00, 90.00 and 120.00 degrees. The asymmetric unit holds Mg at (0.0000, 0.0000, 0.0000), Sc at (0.0000, 0.0000, 0.5000) and Fe at (0.0000, 0.0000, 0.2495).

For the formation energy, the calculation gives 322 meV per atom. The value obtained for the size of the total moment is 1.18 μB per atom.

The following is a DFT calculation (GGA-PBE) of MgSc5Fe after structural relaxation.

The space group is P4/mmm (No. 123) and the conventional cell measures 4.593, 4.593 and 7.787 Å, with angles of 90.00, 90.00 and 90.00 degrees. The asymmetric unit holds Mg at (0.000, 0.000, 0.000), Sc at (0.000, 0.000, 0.500), Sc at (0.000, 0.500, 0.275) and Fe at (0.500, 0.500, 0.500).

For the formation energy, the calculation gives 219 meV per atom. The value obtained for the size of the total moment is 0.00 μB per atom. The value obtained for the excess energy over the best structure of this formula in the dataset is 39 meV per atom.

The following is a DFT calculation (GGA-PBE) of MgScFe3 after structural relaxation.

The space group is Pm-3m (No. 221) and the conventional cell measures 4.485, 4.485 and 4.485 Å, with angles of 90.00, 90.00 and 90.00 degrees. The asymmetric unit holds Mg at (0.000, 0.000, 0.000), Sc at (0.500, 0.500, 0.500) and Fe at (0.000, 0.500, 0.500).

For the formation energy, the calculation gives 1170 meV per atom. The value obtained for the size of the total moment is 1.19 μB per atom. The value obtained for the excess energy over the best structure of this formula in the dataset is 52 meV per atom.

The following is a DFT calculation (GGA-PBE) of MgSc2Fe2 after structural relaxation.

The space group is I4/mmm (No. 139) and the conventional cell measures 4.178, 4.178 and 11.017 Å, with angles of 90.00, 90.00 and 90.00 degrees. The asymmetric unit holds Mg at (0.000, 0.000, 0.000), Sc at (0.000, 0.500, 0.250) and Fe at (0.000, 0.000, 0.404).

For the formation energy, the calculation gives 334 meV per atom. The value obtained for the size of the total moment is 0.56 μB per atom.

The following is a DFT calculation (GGA-PBE) of Mg2ScFe after structural relaxation.

The space group is C2/m (No. 12) and the conventional cell measures 5.581, 10.075 and 2.953 Å, with angles of 90.00, 112.63 and 90.00 degrees. The asymmetric unit holds Mg at (0.250, 0.250, 0.000), Sc at (0.000, 0.000, 0.500) and Fe at (0.000, 0.500, 0.500).

For the formation energy, the calculation gives 241 meV per atom. The value obtained for the size of the total moment is 0.47 μB per atom.

The following is a DFT calculation (GGA-PBE) of Mg2ScFe after structural relaxation.

The space group is I-42d (No. 122) and the conventional cell measures 3.945, 3.945 and 20.887 Å, with angles of 90.00, 90.00 and 90.00 degrees. The asymmetric unit holds Mg at (0.234, 0.250, 0.125), Sc at (0.000, 0.000, 0.500) and Fe at (0.000, 0.000, 0.000).

For the formation energy, the calculation gives 438 meV per atom. The value obtained for the size of the total moment is 0.42 μB per atom.

The following is a DFT calculation (GGA-PBE) of Mg2ScFe after structural relaxation.

The space group is F-43m (No. 216) and the conventional cell measures 6.703, 6.703 and 6.703 Å, with angles of 90.00, 90.00 and 90.00 degrees. The asymmetric unit holds Mg at (0.000, 0.000, 0.000), Mg at (0.250, 0.250, 0.250), Sc at (0.250, 0.250, 0.750) and Fe at (0.000, 0.000, 0.500).

For the formation energy, the calculation gives 193 meV per atom. The value obtained for the size of the total moment is 0.50 μB per atom.

The following is a DFT calculation (GGA-PBE) of Mg2ScFe after structural relaxation.

The space group is P4mm (No. 99) and the conventional cell measures 3.210, 3.210 and 7.502 Å, with angles of 90.00, 90.00 and 90.00 degrees. The asymmetric unit holds Mg at (0.000, 0.000, 0.000), Mg at (0.500, 0.500, 0.287), Sc at (0.000, 0.000, 0.599) and Fe at (0.500, 0.500, 0.790).

For the formation energy, the calculation gives 43 meV per atom. The value obtained for the size of the total moment is 0.35 μB per atom.

The following is a DFT calculation (GGA-PBE) of Mg2ScFe after structural relaxation.

The space group is P2/m (No. 10) and the conventional cell measures 2.970, 4.810 and 5.431 Å, with angles of 90.00, 103.77 and 90.00 degrees. The asymmetric unit holds Mg at (0.178, 0.000, 0.271), Sc at (0.500, 0.500, 0.000) and Fe at (0.000, 0.500, 0.500).

For the formation energy, the calculation gives 193 meV per atom. The value obtained for the size of the total moment is 0.38 μB per atom.

The following is a DFT calculation (GGA-PBE) of Mg2ScFe after structural relaxation.

The space group is I4/mmm (No. 139) and the conventional cell measures 4.079, 4.079 and 8.914 Å, with angles of 90.00, 90.00 and 90.00 degrees. The asymmetric unit holds Mg at (0.000, 0.500, 0.250), Sc at (0.000, 0.000, 0.000) and Fe at (0.000, 0.000, 0.500).

For the formation energy, the calculation gives 150 meV per atom. The value obtained for the size of the total moment is 0.25 μB per atom.

The following is a DFT calculation (GGA-PBE) of Mg2ScFe after structural relaxation.

The space group is Imm2 (No. 44) and the conventional cell measures 3.181, 5.007 and 9.593 Å, with angles of 90.00, 90.00 and 90.00 degrees. The asymmetric unit holds Mg at (0.000, 0.000, 0.000), Mg at (0.000, 0.500, 0.219), Sc at (0.000, 0.000, 0.423) and Fe at (0.000, 0.500, 0.720).

For the formation energy, the calculation gives 158 meV per atom. The value obtained for the size of the total moment is 0.26 μB per atom.

The following is a DFT calculation (GGA-PBE) of Mg2ScFe after structural relaxation.

The space group is Cm (No. 8) and the conventional cell measures 10.243, 3.098 and 5.188 Å, with angles of 90.00, 110.80 and 90.00 degrees. The asymmetric unit holds Mg at (0.000, 0.000, 0.000), Mg at (0.231, 0.000, 0.805), Sc at (0.443, 0.000, 0.456) and Fe at (0.214, 0.500, 0.326).

For the formation energy, the calculation gives 153 meV per atom. The value obtained for the size of the total moment is 0.47 μB per atom.

The following is a DFT calculation (GGA-PBE) of Mg2Sc5Fe2 after structural relaxation.

The space group is Cmce (No. 64) and the conventional cell measures 16.926, 6.711 and 6.706 Å, with angles of 90.00, 90.00 and 90.00 degrees. The asymmetric unit holds Mg at (0.234, 0.000, 0.000), Sc at (0.000, 0.000, 0.000), Sc at (0.110, 0.188, 0.314) and Fe at (0.000, 0.111, 0.612).

For the formation energy, the calculation gives -71 meV per atom. The value obtained for the size of the total moment is 0.00 μB per atom.

The following is a DFT calculation (GGA-PBE) of Mg2Sc2Fe after structural relaxation.

The space group is I4/mmm (No. 139) and the conventional cell measures 3.153, 3.153 and 20.119 Å, with angles of 90.00, 90.00 and 90.00 degrees. The asymmetric unit holds Mg at (0.000, 0.000, 0.195), Sc at (0.000, 0.000, 0.426) and Fe at (0.000, 0.000, 0.000).

For the formation energy, the calculation gives -123 meV per atom. The value obtained for the size of the total moment is 0.00 μB per atom. The value obtained for the excess energy over the best structure of this formula in the dataset is 0 meV per atom.

The following is a DFT calculation (GGA-PBE) of Mg2ScFe after structural relaxation.

The space group is P4/mmm (No. 123) and the conventional cell measures 3.009, 3.009 and 8.468 Å, with angles of 90.00, 90.00 and 90.00 degrees. The asymmetric unit holds Mg at (0.000, 0.000, 0.211), Sc at (0.500, 0.500, 0.500) and Fe at (0.500, 0.500, 0.000).

For the formation energy, the calculation gives 183 meV per atom. The value obtained for the size of the total moment is 0.66 μB per atom.

The following is a DFT calculation (GGA-PBE) of MgSc3Fe after structural relaxation.

The space group is Pmma (No. 51) and the conventional cell measures 8.913, 3.110 and 7.434 Å, with angles of 90.00, 90.00 and 90.00 degrees. The asymmetric unit holds Mg at (0.250, 0.000, 0.078), Sc at (0.041, 0.500, 0.781), Sc at (0.250, 0.500, 0.452) and Fe at (0.000, 0.000, 0.500).

For the formation energy, the calculation gives -52 meV per atom. The value obtained for the size of the total moment is 0.00 μB per atom. The value obtained for the excess energy over the best structure of this formula in the dataset is 0 meV per atom.